# Pu2TiZn PBE optimized geometry
# * excess energy over the best structure of this formula in the dataset: 0.33 eV per formula unit
# * density of states at the Fermi level: 11.55 states/eV per cell
# * formation energy from the elements: 15 kJ/mol of atoms
# * calculated volume: 88.0 Å³ per cell
data_Pu2TiZn
_chemical_formula_sum 'Pu2 Ti1 Zn1'
_cell_length_a 3.809
_cell_length_b 3.809
_cell_length_c 6.064
_cell_angle_alpha 90.00
_cell_angle_beta 90.00
_cell_angle_gamma 90.00
_symmetry_space_group_name_H-M 'P 1'
_symmetry_Int_Tables_number 1
loop_
_symmetry_equiv_pos_as_xyz
'x,y,z'
loop_
_atom_site_label
_atom_site_fract_x
_atom_site_fract_y
_atom_site_fract_z
_atom_site_occupancy
Zn1 0.500 0.500 0.000 1
Ti1 0.500 0.500 0.500 1
Pu1 0.000 0.000 0.755 1
Pu2 0.000 0.000 0.245 1